[1]
# Hf2TaCu PBE relaxed
# Energy relative to the lowest polymorph listed for this composition = 662 meV/atom
# Energy of formation from the pure elements = 0.6399 eV/atom
# Uncorrected energy = -8.324 eV/atom
data_Hf2TaCu
_chemical_formula_sum 'Hf4 Ta2 Cu2'
_cell_length_a 4.028
_cell_length_b 4.028
_cell_length_c 10.144
_cell_angle_alpha 78.55
_cell_angle_beta 78.55
_cell_angle_gamma 90.00
_symmetry_space_group_name_H-M 'P 1'
_symmetry_Int_Tables_number 1
_symmetry_space_group_name_Hall 'P 1'
loop_
_atom_site_label
_atom_site_fract_x
_atom_site_fract_y
_atom_site_fract_z
_atom_site_occupancy
Hf1 0.625 0.125 0.250 1
Hf2 0.125 0.625 0.250 1
Hf3 0.375 0.375 0.750 1
Hf4 0.875 0.875 0.750 1
Cu1 0.500 0.500 0.000 1
Cu2 0.250 0.750 0.500 1
Ta1 0.000 0.000 0.000 1
Ta2 0.750 0.250 0.500 1

=====

[2]
# LiZr3Tl3S8 PBE relaxed
# Uncorrected energy = -5.662 eV/atom
# ΔE_f (raw) = -1150.1 meV/atom
data_LiZr3Tl3S8
_chemical_formula_sum 'Li1 Zr3 Tl3 S8'
_cell_length_a 7.540
_cell_length_b 7.539
_cell_length_c 8.678
_cell_angle_alpha 115.76
_cell_angle_beta 90.00
_cell_angle_gamma 120.00
_symmetry_space_group_name_H-M 'P 1'
_symmetry_Int_Tables_number 1
_symmetry_space_group_name_Hall 'P 1'
loop_
_atom_site_label
_atom_site_fract_x
_atom_site_fract_y
_atom_site_fract_z
_atom_site_occupancy
Li1 0.000 0.000 0.500 1
Zr1 0.500 0.000 0.500 1
Zr2 0.500 0.500 0.500 1
Zr3 0.000 0.500 0.500 1
Tl1 0.000 0.000 0.000 1
Tl2 0.000 0.500 0.000 1
Tl3 0.500 0.500 0.000 1
S1 0.268 0.535 0.303 1
S2 0.732 0.465 0.697 1
S3 0.765 0.530 0.311 1
S4 0.235 0.470 0.689 1
S5 0.765 0.046 0.311 1
S6 0.235 0.954 0.689 1
S7 0.282 0.047 0.311 1
S8 0.718 0.953 0.689 1

=====

[3]
# YCdS2Cl PBE relaxed
# Energy relative to the lowest polymorph listed for this composition = 0 meV/atom
# Uncorrected energy = -4.365 eV/atom
# ΔE_f (raw) = -868.5 meV/atom
data_YCdS2Cl
_chemical_formula_sum 'Y1 Cd1 S2 Cl1'
_cell_length_a 5.306
_cell_length_b 5.306
_cell_length_c 5.132
_cell_angle_alpha 90.00
_cell_angle_beta 90.00
_cell_angle_gamma 90.00
_symmetry_space_group_name_H-M 'P 1'
_symmetry_Int_Tables_number 1
_symmetry_space_group_name_Hall 'P 1'
loop_
_atom_site_label
_atom_site_fract_x
_atom_site_fract_y
_atom_site_fract_z
_atom_site_occupancy
Y1 0.000 0.000 0.000 1
S1 0.000 0.500 0.000 1
S2 0.500 0.000 0.000 1
Cl1 0.000 0.000 0.500 1
Cd1 0.500 0.500 0.500 1

=====

[4]
# CsTl2IO PBE relaxed
# Uncorrected energy = -3.224 eV/atom
# ΔE_f (raw) = -804.7 meV/atom
data_CsTl2IO
_chemical_formula_sum 'Cs2 Tl4 I2 O2'
_cell_length_a 5.385
_cell_length_b 7.070
_cell_length_c 11.913
_cell_angle_alpha 90.00
_cell_angle_beta 90.00
_cell_angle_gamma 112.39
_symmetry_space_group_name_H-M 'P 1'
_symmetry_Int_Tables_number 1
_symmetry_space_group_name_Hall 'P 1'
loop_
_atom_site_label
_atom_site_fract_x
_atom_site_fract_y
_atom_site_fract_z
_atom_site_occupancy
Cs1 0.438 0.877 0.750 1
Cs2 0.562 0.123 0.250 1
Tl1 0.164 0.328 0.962 1
Tl2 0.836 0.672 0.038 1
Tl3 0.164 0.328 0.538 1
Tl4 0.836 0.672 0.462 1
I1 0.724 0.449 0.750 1
I2 0.276 0.551 0.250 1
O1 0.000 0.000 0.000 1
O2 0.000 0.000 0.500 1

=====

[5]
# MgZrPb2 PBE relaxed
# Energy of formation from the pure elements = -0.0960 eV/atom
# Uncorrected energy = -4.486 eV/atom
data_MgZrPb2
_chemical_formula_sum 'Mg1 Zr1 Pb2'
_cell_length_a 6.007
_cell_length_b 6.008
_cell_length_c 5.998
_cell_angle_alpha 137.72
_cell_angle_beta 137.71
_cell_angle_gamma 61.26
_symmetry_space_group_name_H-M 'P 1'
_symmetry_Int_Tables_number 1
_symmetry_space_group_name_Hall 'P 1'
loop_
_atom_site_label
_atom_site_fract_x
_atom_site_fract_y
_atom_site_fract_z
_atom_site_occupancy
Pb1 0.001 0.999 0.000 1
Pb2 0.749 0.251 0.500 1
Mg1 0.250 0.750 0.500 1
Zr1 0.500 0.500 0.000 1

=====

[6]
# PuHfAg2O6 PBE relaxed
# Uncorrected energy = -7.942 eV/atom
# ΔE_f (raw) = -1968.1 meV/atom
data_PuHfAg2O6
_chemical_formula_sum 'Pu1 Hf1 Ag2 O6'
_cell_length_a 4.165
_cell_length_b 5.833
_cell_length_c 5.833
_cell_angle_alpha 90.00
_cell_angle_beta 90.00
_cell_angle_gamma 90.00
_symmetry_space_group_name_H-M 'P 1'
_symmetry_Int_Tables_number 1
_symmetry_space_group_name_Hall 'P 1'
loop_
_atom_site_label
_atom_site_fract_x
_atom_site_fract_y
_atom_site_fract_z
_atom_site_occupancy
Pu1 0.645 0.000 0.000 1
Hf1 0.645 0.500 0.500 1
Ag1 0.143 0.500 0.000 1
Ag2 0.143 0.000 0.500 1
O1 0.645 0.247 0.247 1
O2 0.645 0.247 0.753 1
O3 0.145 0.500 0.500 1
O4 0.145 0.000 0.000 1
O5 0.645 0.753 0.753 1
O6 0.645 0.753 0.247 1

=====

Number 1: spin magnetization 0.0 μB/cell. Number 2: spin magnetization 0.0 μB/cell. Number 3: spin magnetization 0.0 μB/cell. Number 4: spin magnetization 0.0 μB/cell. Number 5: spin magnetization 0.0 μB/cell. Number 6: spin magnetization 2.0 μB/cell.